Density functional theory data (GGA-PBE) for Er8SnIr2 after structural relaxation.

Structure (POSCAR):
```
Er8SnIr2
1.0
5.3534 0.1551 -0.8326
-1.7204 7.0587 -2.9542
0.1649 -0.0622 7.8410
Er Sn Ir
8 1 2
Cartesian
1.2450 4.7510 4.9713 Er
4.0932 5.4780 -1.1109 Er
5.0488 1.8688 4.3606 Er
0.7553 6.6007 2.1673 Er
2.5413 2.4426 -0.8869 Er
0.4659 2.7719 1.7471 Er
3.3222 4.4257 2.3392 Er
3.0309 0.5934 1.9164 Er
-0.0030 0.0234 0.0159 Sn
2.2521 2.2469 4.0896 Ir
1.5370 4.9481 -0.0053 Ir
```

total magnetic moment: 0.09 μB per formula unit
total energy: -5.80 eV/atom
calculated formation energy: -0.51 eV/atom
ρ: 10.25 g/cm3
SG: C2/m (12)


Density functional theory data (GGA-PBE) for Er5Sn2Ir2 after structural relaxation.

Structure (POSCAR):
```
Er5Sn2Ir2
1.0
-5.2019 4.4471 -2.2450
0.4166 -3.3018 -7.5060
-5.5226 -3.5576 5.7492
Er Ir Sn
10 4 4
Cartesian
-2.3926 0.5726 -4.8755 Er
-1.9456 -1.6239 -2.2932 Er
-5.7006 -3.4930 -1.6795 Er
-2.7243 -2.4310 -6.4722 Er
-7.5836 0.0186 2.4705 Er
-5.3860 0.2736 -6.5013 Er
-4.9219 -2.6859 2.4995 Er
-4.6072 1.0806 -2.3223 Er
-8.3623 -0.7884 -1.7085 Er
0.0000 0.0000 0.0000 Er
-4.3451 2.6208 -4.7291 Ir
-1.8452 1.1984 -1.7853 Ir
-2.9401 -0.0531 -7.9657 Ir
-0.4402 -1.4755 -5.0218 Ir
-4.6637 -1.6532 -4.0224 Sn
-5.6442 -0.7591 0.0207 Sn
-2.8349 -4.6336 -2.6099 Sn
-2.2710 -2.2258 0.8531 Sn
```

total magnetic moment: 0.00 μB per formula unit
total energy: -6.14 eV/atom
calculated formation energy: -0.75 eV/atom
ρ: 10.63 g/cm3
SG: Cmce (64)


Density functional theory data (GGA-PBE) for Er8Sn2Ir after structural relaxation.

Structure (POSCAR):
```
Er8Sn2Ir
1.0
4.9546 0.0000 0.0000
0.0000 6.5780 0.0518
-2.4773 -2.7056 9.2183
Er Ir Sn
8 1 2
Cartesian
0.0000 1.3718 7.6067 Er
2.4773 2.5006 1.6634 Er
2.4773 2.9420 5.2070 Er
0.0000 -1.9176 6.5370 Er
2.4773 5.7900 2.7331 Er
0.0000 5.0637 0.4401 Er
0.0000 0.9304 4.0631 Er
2.4773 -1.1912 8.8301 Er
2.4773 0.0000 0.0000 Ir
2.4773 -0.1211 5.8845 Sn
0.0000 3.9935 3.3856 Sn
```

total magnetic moment: 0.00 μB per formula unit
total energy: -5.33 eV/atom
calculated formation energy: -0.48 eV/atom
ρ: 9.75 g/cm3
SG: C2/m (12)


Density functional theory data (GGA-PBE) for Er3SnIr2 after structural relaxation.

Structure (POSCAR):
```
Er3SnIr2
1.0
6.6911 0.0000 0.0000
0.0000 6.9031 0.0000
-3.3456 -3.4515 6.5666
Ir Er Sn
4 6 2
Cartesian
4.7453 0.0000 1.7867 Ir
1.9458 3.4515 1.7867 Ir
1.3997 0.0000 4.7800 Ir
-1.3997 3.4515 4.7800 Ir
3.3456 5.1773 0.0000 Er
0.0000 5.1773 2.9602 Er
3.3456 1.7258 0.0000 Er
3.3456 -1.7258 3.6065 Er
3.3456 1.7258 3.6065 Er
0.0000 1.7258 2.9602 Er
0.0000 3.4515 0.0000 Sn
0.0000 0.0000 0.0000 Sn
```

total magnetic moment: 0.00 μB per formula unit
total energy: -6.59 eV/atom
ΔE to the lowest computed polymorph: 128 meV per atom
calculated formation energy: -0.69 eV/atom
ρ: 11.00 g/cm3
SG: Ibam (72)


Density functional theory data (GGA-PBE) for Er4Sn2Ir after structural relaxation.

Structure (POSCAR):
```
Er4Sn2Ir
1.0
-0.8457 3.6132 -2.6884
-1.0502 -5.2715 -6.7546
-3.4619 1.2186 6.6321
Er Sn Ir
4 2 1
Cartesian
-3.9960 3.2627 1.7369 Er
-3.3352 -1.7963 -1.3651 Er
-2.0226 1.3566 -1.4458 Er
-1.3617 -3.7024 -4.5477 Er
-2.3120 -0.6450 -4.0449 Sn
-3.0457 0.2053 1.2340 Sn
0.0000 0.0000 0.0000 Ir
```

total magnetic moment: 0.00 μB per formula unit
total energy: -5.73 eV/atom
calculated formation energy: -0.71 eV/atom
ρ: 9.87 g/cm3
SG: C2/m (12)


Density functional theory data (GGA-PBE) for ErSn6Ir after structural relaxation.

Structure (POSCAR):
```
ErSn6Ir
1.0
-1.7859 -4.5073 4.9554
2.7686 -0.0816 5.7770
-2.3967 3.5045 4.7506
Sn Er Ir
6 1 1
Cartesian
0.2519 -1.2795 2.9475 Sn
-1.1035 -1.4829 9.6004 Sn
0.6687 0.7378 8.9706 Sn
-2.0826 -1.8222 6.5123 Sn
0.7308 -3.3094 7.7849 Sn
-0.3104 0.3986 5.8825 Sn
0.0000 0.0000 0.0000 Er
0.4914 -2.2944 5.3662 Ir
```

total magnetic moment: 0.00 μB per formula unit
total energy: -4.82 eV/atom
calculated formation energy: -0.14 eV/atom
ρ: 8.65 g/cm3
SG: C2/m (12)


Density functional theory data (GGA-PBE) for Er5SnIr2 after structural relaxation.

Structure (POSCAR):
```
Er5SnIr2
1.0
6.9832 0.0000 -3.2964
-1.5561 6.8076 -3.2964
-0.2032 -0.2549 8.6144
Er Sn Ir
10 2 4
Cartesian
2.8141 1.9215 -0.2219 Er
2.4098 4.6313 2.2434 Er
4.4702 1.2275 3.2863 Er
0.0000 0.0000 0.0000 Er
2.7136 3.4038 -3.2964 Er
6.0200 3.1715 -2.4754 Er
1.2643 -0.0226 5.5398 Er
0.7538 5.3253 -1.2647 Er
-0.7961 3.3812 4.4969 Er
3.9596 6.5753 -3.5183 Er
1.2552 1.5745 2.6590 Sn
3.9687 4.9783 -0.6374 Sn
1.1775 5.8568 -4.0238 Ir
5.0124 4.3547 -4.9447 Ir
4.2496 0.9508 -2.5691 Ir
0.4147 2.4530 -1.6482 Ir
```

total magnetic moment: 0.00 μB per formula unit
total energy: -6.35 eV/atom
calculated formation energy: -0.78 eV/atom
ρ: 11.18 g/cm3
SG: I4/mcm (140)


Density functional theory data (GGA-PBE) for Er8Sn2Ir3 after structural relaxation.

Structure (POSCAR):
```
Er8Sn2Ir3
1.0
4.8344 0.0000 0.0000
0.0000 8.4352 -4.8444
0.0000 -0.5376 8.8224
Er Sn Ir
8 2 3
Cartesian
0.0000 5.0197 -1.0259 Er
2.4172 2.8982 0.2348 Er
2.4172 4.9993 3.7432 Er
0.0000 7.0607 2.5252 Er
2.4172 7.1823 -2.2206 Er
2.4172 0.7152 6.1986 Er
4.8344 0.8368 1.4528 Er
0.0000 2.8778 5.0039 Er
2.4172 1.8854 3.2791 Sn
2.4172 6.0121 0.6989 Sn
0.0000 1.5702 7.6101 Ir
0.0000 6.3273 -3.6321 Ir
2.4172 0.0000 0.0000 Ir
```

total magnetic moment: 0.00 μB per formula unit
total energy: -6.15 eV/atom
calculated formation energy: -0.68 eV/atom
ρ: 10.29 g/cm3
SG: Cmmm (65)